AcThSbS | PBE-GGA | optimized geometry

```
AcThSbS
1.0
4.8873 0.0000 0.0000
0.0000 4.8873 0.0000
0.0000 0.0000 10.8737
Ac Th Sb S
2 2 2 2
Cartesian
1.2218 1.2218 1.5675 Ac
3.6655 3.6655 9.3062 Ac
1.2218 3.6655 5.4369 Th
3.6655 1.2218 5.4369 Th
1.2218 1.2218 7.5910 Sb
3.6655 3.6655 3.2827 Sb
1.2218 3.6655 0.0000 S
3.6655 1.2218 0.0000 S
```

Computed properties:
- Calculated total energy: -6.136 eV/atom
- Total magnetic moment: 0.00 μB per atom

---

Ac2NdTl | PBE-GGA | optimized geometry

```
Ac2NdTl
1.0
1.8944 1.0937 12.7317
-1.8944 1.0937 12.7317
0.0000 -2.1874 12.7317
Ac Nd Tl
2 1 1
Cartesian
0.0000 0.0000 3.6098 Ac
0.0000 0.0000 34.5852 Ac
0.0000 0.0000 0.0000 Nd
0.0000 0.0000 19.0975 Tl
```

Computed properties:
- Total magnetic moment: 0.15 μB per atom
- Calculated formation energy: 0.126 eV per atom

---

total magnetic moment of number 1 (AcThSbS)?
0.00 μB per atom